# 1
# LiSm4Sn8 (PBE-GGA, relaxed)
data_LiSm4Sn8
_chemical_formula_sum 'Li1 Sm4 Sn8'
_symmetry_space_group_name_H-M 'P m m 2'
_symmetry_Int_Tables_number 25
_symmetry_space_group_name_Hall 'P 2 -2'
_cell_length_a 4.4069
_cell_length_b 4.4929
_cell_length_c 17.3164
_cell_angle_alpha 90.00
_cell_angle_beta 90.00
_cell_angle_gamma 90.00
loop_
_atom_site_label
_atom_site_fract_x
_atom_site_fract_y
_atom_site_fract_z
Li1 0.0000 0.0000 0.0000
Sm1 0.0000 0.0000 0.7739
Sm2 0.0000 0.5000 0.2896
Sm3 0.5000 0.0000 0.5786
Sm4 0.5000 0.5000 0.0783
Sn1 0.0000 0.0000 0.1458
Sn2 0.0000 0.0000 0.4327
Sn3 0.0000 0.5000 0.6137
Sn4 0.0000 0.5000 0.9158
Sn5 0.5000 0.0000 0.2586
Sn6 0.5000 0.0000 0.9144
Sn7 0.5000 0.5000 0.4372
Sn8 0.5000 0.5000 0.7313
# uncorrected energy = -60.8 eV for the cell shown
# ΔE_f = -0.61 eV/atom



# 2
# Li4SmSn4 (PBE-GGA, relaxed)
data_Li4SmSn4
_chemical_formula_sum 'Li8 Sm2 Sn8'
_symmetry_space_group_name_H-M 'P 42/n m c'
_symmetry_Int_Tables_number 137
_cell_length_a 6.5682
_cell_length_b 6.5682
_cell_length_c 9.4238
_cell_angle_alpha 90.00
_cell_angle_beta 90.00
_cell_angle_gamma 90.00
loop_
_symmetry_equiv_pos_as_xyz
'x,y,z'
'-x,-y,-z'
'-y+1/2,x,z+1/2'
'y+1/2,-x,-z+1/2'
'-x+1/2,-y+1/2,z'
'x+1/2,y+1/2,-z'
'y,-x+1/2,z+1/2'
'-y,x+1/2,-z+1/2'
'x+1/2,-y,-z'
'-x+1/2,y,z'
'-y,-x,-z+1/2'
'y,x,z+1/2'
'-x,y+1/2,-z'
'x,-y+1/2,z'
'y+1/2,x+1/2,-z+1/2'
'-y+1/2,-x+1/2,z+1/2'
loop_
_atom_site_label
_atom_site_fract_x
_atom_site_fract_y
_atom_site_fract_z
Li1 0.0204 0.2500 0.1697
Sm1 0.2500 0.7500 0.2500
Sn1 0.0291 0.2500 0.4642
# uncorrected energy = -63.2 eV for the cell shown
# ΔE_f = -0.36 eV/atom



# 3
# LiSm3Sn3 (PBE-GGA, relaxed)
data_LiSm3Sn3
_chemical_formula_sum 'Li4 Sm12 Sn12'
_symmetry_space_group_name_H-M 'C 1 2/m 1'
_symmetry_Int_Tables_number 12
_symmetry_space_group_name_Hall '-C 2y'
_cell_length_a 11.5718
_cell_length_b 4.6358
_cell_length_c 15.0499
_cell_angle_alpha 90.00
_cell_angle_beta 109.55
_cell_angle_gamma 90.00
loop_
_atom_site_label
_atom_site_fract_x
_atom_site_fract_y
_atom_site_fract_z
Li1 0.2405 0.0000 0.4014
Sm1 0.0357 0.5000 0.3843
Sm2 0.0955 0.5000 0.9200
Sm3 0.2434 0.5000 0.2234
Sn1 0.0323 0.0000 0.2361
Sn2 0.1290 0.0000 0.0751
Sn3 0.1346 0.0000 0.5520
# uncorrected energy = -131.9 eV for the cell shown
# ΔE_f = -0.70 eV/atom
# energy above the most stable polymorph in this dataset = 0.0 kJ per mole of atoms



# 4
# Li2SmSn2 (PBE-GGA, relaxed)
data_Li2SmSn2
_chemical_formula_sum 'Li4 Sm2 Sn4'
_symmetry_space_group_name_H-M 'P 4/n m m'
_symmetry_Int_Tables_number 129
_cell_length_a 4.5026
_cell_length_b 4.5026
_cell_length_c 10.9410
_cell_angle_alpha 90.00
_cell_angle_beta 90.00
_cell_angle_gamma 90.00
loop_
_symmetry_equiv_pos_as_xyz
'x,y,z'
'-x,-y,-z'
'-y+1/2,x,z'
'y+1/2,-x,-z'
'-x+1/2,-y+1/2,z'
'x+1/2,y+1/2,-z'
'y,-x+1/2,z'
'-y,x+1/2,-z'
'x+1/2,-y,-z'
'-x+1/2,y,z'
'-y,-x,-z'
'y,x,z'
'-x,y+1/2,-z'
'x,-y+1/2,z'
'y+1/2,x+1/2,-z'
'-y+1/2,-x+1/2,z'
loop_
_atom_site_label
_atom_site_fract_x
_atom_site_fract_y
_atom_site_fract_z
Li1 0.2500 0.2500 0.1377
Li2 0.2500 0.7500 0.5000
Sm1 0.2500 0.2500 0.7470
Sn1 0.2500 0.2500 0.3689
Sn2 0.2500 0.7500 0.0000
# uncorrected energy = -38.0 eV for the cell shown
# ΔE_f = -0.49 eV/atom
# energy above the most stable polymorph in this dataset = 3.6 kJ per mole of atoms



# 5
# Li4SmSn5 (PBE-GGA, relaxed)
data_Li4SmSn5
_chemical_formula_sum 'Li4 Sm1 Sn5'
_symmetry_space_group_name_H-M 'P 4/m m m'
_symmetry_Int_Tables_number 123
_symmetry_space_group_name_Hall '-P 4 2'
_cell_length_a 3.5162
_cell_length_b 3.5162
_cell_length_c 17.7586
_cell_angle_alpha 90.00
_cell_angle_beta 90.00
_cell_angle_gamma 90.00
loop_
_atom_site_label
_atom_site_fract_x
_atom_site_fract_y
_atom_site_fract_z
Li1 0.0000 0.0000 0.0945
Li2 0.0000 0.0000 0.2813
Sm1 0.0000 0.0000 0.5000
Sn1 0.5000 0.5000 0.0000
Sn2 0.5000 0.5000 0.1888
Sn3 0.5000 0.5000 0.3751
# uncorrected energy = -36.2 eV for the cell shown
# ΔE_f = -0.38 eV/atom



# 6
# LiSmSn (PBE-GGA, relaxed)
data_LiSmSn
_chemical_formula_sum 'Li8 Sm8 Sn8'
_symmetry_space_group_name_H-M 'P 63 m c'
_symmetry_Int_Tables_number 186
_symmetry_space_group_name_Hall 'P 6c -2c'
_cell_length_a 9.4820
_cell_length_b 9.4820
_cell_length_c 7.5391
_cell_angle_alpha 90.00
_cell_angle_beta 90.00
_cell_angle_gamma 120.00
loop_
_atom_site_label
_atom_site_fract_x
_atom_site_fract_y
_atom_site_fract_z
Li1 0.1667 0.3334 0.0000
Li2 0.3333 0.6667 0.6063
Sm1 0.0000 0.0000 0.2863
Sm2 0.0217 0.5109 0.2909
Sn1 0.1667 0.3334 0.5554
Sn2 0.3333 0.6667 0.0216
# uncorrected energy = -101.0 eV for the cell shown
# ΔE_f = -0.66 eV/atom



# 7
# Li3Sm2Sn4 (PBE-GGA, relaxed)
data_Li3Sm2Sn4
_chemical_formula_sum 'Li12 Sm8 Sn16'
_symmetry_space_group_name_H-M 'C m c e'
_symmetry_Int_Tables_number 64
_symmetry_space_group_name_Hall '-C 2ac 2'
_cell_length_a 6.3058
_cell_length_b 16.1637
_cell_length_c 8.1100
_cell_angle_alpha 90.00
_cell_angle_beta 90.00
_cell_angle_gamma 90.00
loop_
_atom_site_label
_atom_site_fract_x
_atom_site_fract_y
_atom_site_fract_z
Li1 0.0000 0.0000 0.0000
Li2 0.2500 0.2281 0.2500
Sm1 0.0000 0.1076 0.5973
Sn1 0.0000 0.1776 0.9799
Sn2 0.2500 0.0558 0.2500
# uncorrected energy = -143.8 eV for the cell shown
# ΔE_f = -0.53 eV/atom



# 8
# LiSm5Sn4 (PBE-GGA, relaxed)
data_LiSm5Sn4
_chemical_formula_sum 'Li2 Sm10 Sn8'
_symmetry_space_group_name_H-M 'C 1 2/m 1'
_symmetry_Int_Tables_number 12
_symmetry_space_group_name_Hall '-C 2y'
_cell_length_a 17.2584
_cell_length_b 4.4094
_cell_length_c 7.9400
_cell_angle_alpha 90.00
_cell_angle_beta 99.00
_cell_angle_gamma 90.00
loop_
_atom_site_label
_atom_site_fract_x
_atom_site_fract_y
_atom_site_fract_z
Li1 0.0000 0.0000 0.0000
Sm1 0.0000 0.0000 0.5000
Sm2 0.1300 0.5000 0.1880
Sm3 0.2116 0.5000 0.6530
Sn1 0.0488 0.5000 0.7903
Sn2 0.1803 0.0000 0.9289
# uncorrected energy = -90.8 eV for the cell shown
# ΔE_f = -0.39 eV/atom



Repeat the sixth record exactly.
# LiSmSn (PBE-GGA, relaxed)
data_LiSmSn
_chemical_formula_sum 'Li8 Sm8 Sn8'
_symmetry_space_group_name_H-M 'P 63 m c'
_symmetry_Int_Tables_number 186
_symmetry_space_group_name_Hall 'P 6c -2c'
_cell_length_a 9.4820
_cell_length_b 9.4820
_cell_length_c 7.5391
_cell_angle_alpha 90.00
_cell_angle_beta 90.00
_cell_angle_gamma 120.00
loop_
_atom_site_label
_atom_site_fract_x
_atom_site_fract_y
_atom_site_fract_z
Li1 0.1667 0.3334 0.0000
Li2 0.3333 0.6667 0.6063
Sm1 0.0000 0.0000 0.2863
Sm2 0.0217 0.5109 0.2909
Sn1 0.1667 0.3334 0.5554
Sn2 0.3333 0.6667 0.0216
# uncorrected energy = -101.0 eV for the cell shown
# ΔE_f = -0.66 eV/atom



> ΔE_f of number 8 (LiSm5Sn4)?

-0.39 eV/atom



What did the first record say?
# LiSm4Sn8 (PBE-GGA, relaxed)
data_LiSm4Sn8
_chemical_formula_sum 'Li1 Sm4 Sn8'
_symmetry_space_group_name_H-M 'P m m 2'
_symmetry_Int_Tables_number 25
_symmetry_space_group_name_Hall 'P 2 -2'
_cell_length_a 4.4069
_cell_length_b 4.4929
_cell_length_c 17.3164
_cell_angle_alpha 90.00
_cell_angle_beta 90.00
_cell_angle_gamma 90.00
loop_
_atom_site_label
_atom_site_fract_x
_atom_site_fract_y
_atom_site_fract_z
Li1 0.0000 0.0000 0.0000
Sm1 0.0000 0.0000 0.7739
Sm2 0.0000 0.5000 0.2896
Sm3 0.5000 0.0000 0.5786
Sm4 0.5000 0.5000 0.0783
Sn1 0.0000 0.0000 0.1458
Sn2 0.0000 0.0000 0.4327
Sn3 0.0000 0.5000 0.6137
Sn4 0.0000 0.5000 0.9158
Sn5 0.5000 0.0000 0.2586
Sn6 0.5000 0.0000 0.9144
Sn7 0.5000 0.5000 0.4372
Sn8 0.5000 0.5000 0.7313
# uncorrected energy = -60.8 eV for the cell shown
# ΔE_f = -0.61 eV/atom



What did the third record say?
# LiSm3Sn3 (PBE-GGA, relaxed)
data_LiSm3Sn3
_chemical_formula_sum 'Li4 Sm12 Sn12'
_symmetry_space_group_name_H-M 'C 1 2/m 1'
_symmetry_Int_Tables_number 12
_symmetry_space_group_name_Hall '-C 2y'
_cell_length_a 11.5718
_cell_length_b 4.6358
_cell_length_c 15.0499
_cell_angle_alpha 90.00
_cell_angle_beta 109.55
_cell_angle_gamma 90.00
loop_
_atom_site_label
_atom_site_fract_x
_atom_site_fract_y
_atom_site_fract_z
Li1 0.2405 0.0000 0.4014
Sm1 0.0357 0.5000 0.3843
Sm2 0.0955 0.5000 0.9200
Sm3 0.2434 0.5000 0.2234
Sn1 0.0323 0.0000 0.2361
Sn2 0.1290 0.0000 0.0751
Sn3 0.1346 0.0000 0.5520
# uncorrected energy = -131.9 eV for the cell shown
# ΔE_f = -0.70 eV/atom
# energy above the most stable polymorph in this dataset = 0.0 kJ per mole of atoms